A plane-wave DFT calculation with PBE with a Hubbard U was carried out for a relaxed V2O3F3 crystal.

abc: 3.833 5.275 5.366
angles: 89.23 69.54 69.32
Fractional positions:
V1 0.000 0.000 0.000
V2 0.017 0.488 0.513
O1 0.034 0.233 0.705
O2 0.537 0.346 0.222
O3 0.911 0.343 0.223
F1 0.317 0.654 0.698
F2 0.574 0.890 0.958
F3 0.906 0.833 0.356

Output
Energy above the lowest structure with this stoichiometry ... 221 meV/atom
Final energy ... -6.44 eV per atom